No. 1
An optimized crystal structure of PrPbBrO2. Source: Alexandria via LeMat-Bulk, functional PBE.

Geometry as CIF:
```
data_PrPbBrO2
_cell_length_a 7.254
_cell_length_b 4.151
_cell_length_c 8.429
_cell_angle_alpha 90.00
_cell_angle_beta 107.77
_cell_angle_gamma 90.00
_space_group_name_H-M_alt 'P 1 21/m 1'
_space_group_IT_number 11
loop_
_space_group_symop_operation_xyz
'x,y,z'
'-x,-y,-z'
'-x,y+1/2,-z'
'x,-y+1/2,z'
loop_
_atom_site_label
_atom_site_fract_x
_atom_site_fract_y
_atom_site_fract_z
Pr1 0.163 0.250 0.419
Pb1 0.168 0.250 0.921
Br1 0.452 0.750 0.680
O1 0.007 0.750 0.381
O2 0.011 0.250 0.130
```

Results
crystal system	monoclinic
VASP energy	-0.455	Ry/atom
calculated density	6.3	g cm⁻³
formation energy (no corrections)	-10.9	eV per formula unit



No. 2
An optimized crystal structure of PuPbBrO2. Source: Alexandria via LeMat-Bulk, functional PBE.

Geometry as CIF:
```
data_PuPbBrO2
_cell_length_a 7.107
_cell_length_b 4.043
_cell_length_c 8.382
_cell_angle_alpha 90.00
_cell_angle_beta 107.75
_cell_angle_gamma 90.00
_space_group_name_H-M_alt 'P 1 21/m 1'
_space_group_IT_number 11
loop_
_space_group_symop_operation_xyz
'x,y,z'
'-x,-y,-z'
'-x,y+1/2,-z'
'x,-y+1/2,z'
loop_
_atom_site_label
_atom_site_fract_x
_atom_site_fract_y
_atom_site_fract_z
Pu1 0.160 0.250 0.421
Pb1 0.178 0.250 0.929
Br1 0.454 0.750 0.684
O1 0.008 0.750 0.386
O2 0.012 0.250 0.134
```

Results
crystal system	monoclinic
VASP energy	-0.579	Ry/atom
calculated density	8.2	g cm⁻³
formation energy (no corrections)	-9.8	eV per formula unit



No. 3
An optimized crystal structure of RhPbBr2O. Source: Alexandria via LeMat-Bulk, functional PBE.

Geometry as CIF:
```
data_RhPbBr2O
_cell_length_a 4.789
_cell_length_b 4.789
_cell_length_c 4.810
_cell_angle_alpha 90.00
_cell_angle_beta 90.00
_cell_angle_gamma 90.00
_space_group_name_H-M_alt 'P 4/m m m'
_space_group_IT_number 123
_space_group_name_Hall '-P 4 2'
loop_
_atom_site_label
_atom_site_fract_x
_atom_site_fract_y
_atom_site_fract_z
Rh1 0.000 0.000 0.000
Pb1 0.500 0.500 0.000
Br1 0.000 0.500 0.500
O1 0.500 0.500 0.500
```

Results
crystal system	tetragonal
VASP energy	-0.246	Ry/atom
calculated density	7.3	g cm⁻³
formation energy (no corrections)	2.6	eV per formula unit



No. 4
An optimized crystal structure of RuPbBrO4. Source: Alexandria via LeMat-Bulk, functional PBE.

Geometry as CIF:
```
data_RuPbBrO4
_cell_length_a 11.367
_cell_length_b 7.772
_cell_length_c 7.308
_cell_angle_alpha 90.00
_cell_angle_beta 104.00
_cell_angle_gamma 90.00
_space_group_name_H-M_alt 'C 1 2/m 1'
_space_group_IT_number 12
loop_
_space_group_symop_operation_xyz
'x,y,z'
'-x,-y,-z'
'-x,y,-z'
'x,-y,z'
'x+1/2,y+1/2,z'
'-x+1/2,-y+1/2,-z'
'-x+1/2,y+1/2,-z'
'x+1/2,-y+1/2,z'
loop_
_atom_site_label
_atom_site_fract_x
_atom_site_fract_y
_atom_site_fract_z
Ru1 0.139 0.000 0.264
Pb1 0.200 0.500 0.105
Br1 0.017 0.500 0.752
O1 0.017 0.000 0.772
O2 0.188 0.174 0.141
O3 0.215 0.000 0.501
```

Results
crystal system	monoclinic
VASP energy	-0.421	Ry/atom
calculated density	4.8	g cm⁻³
formation energy (no corrections)	-5.6	eV per formula unit



No. 5
An optimized crystal structure of Pb4SBr2O2. Source: Alexandria via LeMat-Bulk, functional PBE.

Geometry as CIF:
```
data_Pb4SBr2O2
_cell_length_a 16.078
_cell_length_b 4.087
_cell_length_c 7.770
_cell_angle_alpha 90.00
_cell_angle_beta 107.89
_cell_angle_gamma 90.00
_space_group_name_H-M_alt 'C 1 2/m 1'
_space_group_IT_number 12
loop_
_space_group_symop_operation_xyz
'x,y,z'
'-x,-y,-z'
'-x,y,-z'
'x,-y,z'
'x+1/2,y+1/2,z'
'-x+1/2,-y+1/2,-z'
'-x+1/2,y+1/2,-z'
'x+1/2,-y+1/2,z'
loop_
_atom_site_label
_atom_site_fract_x
_atom_site_fract_y
_atom_site_fract_z
Pb1 0.041 0.000 0.277
Pb2 0.211 0.500 0.662
S1 0.000 0.500 0.500
Br1 0.133 0.500 0.069
O1 0.178 0.000 0.479
```

Results
crystal system	monoclinic
VASP energy	-0.335	Ry/atom
calculated density	7.2	g cm⁻³
formation energy (no corrections)	-8.8	eV per formula unit



No. 6
An optimized crystal structure of SbPb2BrO4. Source: Alexandria via LeMat-Bulk, functional PBE.

Geometry as CIF:
```
data_SbPb2BrO4
_cell_length_a 10.439
_cell_length_b 3.348
_cell_length_c 10.686
_cell_angle_alpha 90.00
_cell_angle_beta 115.01
_cell_angle_gamma 90.00
_space_group_name_H-M_alt 'C 1 2/m 1'
_space_group_IT_number 12
loop_
_space_group_symop_operation_xyz
'x,y,z'
'-x,-y,-z'
'-x,y,-z'
'x,-y,z'
'x+1/2,y+1/2,z'
'-x+1/2,-y+1/2,-z'
'-x+1/2,y+1/2,-z'
'x+1/2,-y+1/2,z'
loop_
_atom_site_label
_atom_site_fract_x
_atom_site_fract_y
_atom_site_fract_z
Sb1 0.000 0.000 0.000
Pb1 0.117 0.500 0.772
Br1 0.000 0.000 0.500
O1 0.023 0.000 0.193
O2 0.137 0.500 0.035
```

Results
crystal system	monoclinic
VASP energy	-0.386	Ry/atom
calculated density	6.7	g cm⁻³
formation energy (no corrections)	-9.0	eV per formula unit



No. 7
An optimized crystal structure of Sc2PbBrO. Source: Alexandria via LeMat-Bulk, functional PBE.

Geometry as CIF:
```
data_Sc2PbBrO
_cell_length_a 5.183
_cell_length_b 5.183
_cell_length_c 4.135
_cell_angle_alpha 90.00
_cell_angle_beta 90.00
_cell_angle_gamma 90.00
_space_group_name_H-M_alt 'P 4/m m m'
_space_group_IT_number 123
_space_group_name_Hall '-P 4 2'
loop_
_atom_site_label
_atom_site_fract_x
_atom_site_fract_y
_atom_site_fract_z
Sc1 0.000 0.500 0.000
Pb1 0.000 0.000 0.500
Br1 0.500 0.500 0.000
O1 0.500 0.500 0.500
```

Results
crystal system	tetragonal
VASP energy	-0.351	Ry/atom
calculated density	5.9	g cm⁻³
formation energy (no corrections)	-0.9	eV per formula unit



No. 8
An optimized crystal structure of PbSe2BrO. Source: Alexandria via LeMat-Bulk, functional PBE.

Geometry as CIF:
```
data_PbSe2BrO
_cell_length_a 5.650
_cell_length_b 5.650
_cell_length_c 5.835
_cell_angle_alpha 90.00
_cell_angle_beta 90.00
_cell_angle_gamma 90.00
_space_group_name_H-M_alt 'P 4/m m m'
_space_group_IT_number 123
_space_group_name_Hall '-P 4 2'
loop_
_atom_site_label
_atom_site_fract_x
_atom_site_fract_y
_atom_site_fract_z
Pb1 0.000 0.000 0.000
Se1 0.000 0.500 0.000
Br1 0.000 0.000 0.500
O1 0.500 0.500 0.500
```

Results
crystal system	tetragonal
VASP energy	-0.194	Ry/atom
calculated density	4.1	g cm⁻³
formation energy (no corrections)	4.1	eV per formula unit